Below is a relaxed structure of Hg5SO8, with properties calculated at the PBE-GGA level.

Lattice parameters (Å, degrees): 7.2277 7.2277 7.2277 102.18 102.18 125.32
Sites, in units of the cell vectors:
Hg (0.0000, 0.0000, 0.0000)
Hg (0.1156, 0.1207, 0.5108)
Hg (0.3952, 0.8844, 0.0051)
Hg (0.6099, 0.6048, 0.4892)
Hg (0.8793, 0.3901, 0.9949)
S (0.2500, 0.7500, 0.5000)
O (0.0119, 0.6842, 0.9074)
O (0.2580, 0.6002, 0.6123)
O (0.3158, 0.2231, 0.3277)
O (0.3543, 0.7420, 0.3421)
O (0.3998, 0.0122, 0.6579)
O (0.7769, 0.1045, 0.0926)
O (0.8955, 0.9881, 0.6723)
O (0.9878, 0.6457, 0.3877)

The value obtained for the total magnetic moment is 0.15 μB per formula unit. The space group is I-4 (82). The final energy is -3.798 eV per atom. The uncorrected formation energy comes out at -54 kJ per mole of atoms.